[1]
Tl2ZnFe (PBE-GGA, relaxed); formation enthalpy at 0 K = 520 meV per atom
1.0
3.2984 0.0000 0.0000
0.0000 3.9386 0.0000
-0.2386 0.0000 6.3865
Tl Zn Fe
2 1 1
direct
0.0127 0.0000 0.2580
0.9873 0.0000 0.7420
0.5000 0.5000 0.0000
0.5000 0.5000 0.5000

[2]
Tl2ZnFe (PBE-GGA, relaxed); formation enthalpy at 0 K = 535 meV per atom
1.0
4.4902 -1.6047 0.0000
4.4902 1.6047 0.0000
-1.2090 0.0000 5.8844
Tl Zn Fe
2 1 1
direct
0.2460 0.2460 0.2397
0.7540 0.7540 0.7603
0.0000 0.0000 0.5000
0.5000 0.5000 0.0000

[3]
Tl2ZnFe (PBE-GGA, relaxed); formation enthalpy at 0 K = 574 meV per atom
1.0
-1.6204 2.7554 4.8262
1.6204 -2.7554 4.8262
1.6204 2.7554 -4.8262
Tl Zn Fe
2 1 1
direct
0.2375 0.2375 0.0000
0.7625 0.7625 0.0000
0.5000 0.0000 0.5000
0.0000 0.5000 0.5000

[4]
Tl2ZnFe (PBE-GGA, relaxed); formation enthalpy at 0 K = 487 meV per atom
1.0
-5.0031 5.0031 2.3990
5.0031 -5.0031 2.3990
5.0031 5.0031 -2.3990
Tl Zn Fe
4 2 2
direct
0.0000 0.0000 0.0000
0.0000 0.0000 0.5000
0.0000 0.5000 0.0000
0.5000 0.0000 0.5000
0.3750 0.6250 0.7500
0.6250 0.3750 0.2500
0.1250 0.8750 0.2500
0.8750 0.1250 0.7500

[5]
TlZnFe (PBE-GGA, relaxed); formation enthalpy at 0 K = 536 meV per atom
1.0
0.0000 3.0953 3.0953
3.0953 0.0000 3.0953
3.0953 3.0953 0.0000
Tl Zn Fe
1 1 1
direct
0.0000 0.0000 0.0000
0.5000 0.5000 0.5000
0.7500 0.7500 0.7500

[6]
Tl2ZnFe (PBE-GGA, relaxed); formation enthalpy at 0 K = 773 meV per atom
1.0
0.0000 3.3777 3.3777
3.3777 0.0000 3.3777
3.3777 3.3777 0.0000
Tl Zn Fe
2 1 1
direct
0.2500 0.2500 0.2500
0.7500 0.7500 0.7500
0.0000 0.0000 0.0000
0.5000 0.5000 0.5000

[7]
Tl2ZnFe (PBE-GGA, relaxed); formation enthalpy at 0 K = 512 meV per atom
1.0
3.0894 0.0000 0.0000
0.0000 5.1749 0.0000
0.0000 0.0000 5.1909
Tl Zn Fe
2 1 1
direct
0.0000 0.0000 0.0000
0.0000 0.5000 0.5000
0.5000 0.0000 0.5000
0.5000 0.5000 0.0000

[8]
Tl2ZnFe (PBE-GGA, relaxed); formation enthalpy at 0 K = 522 meV per atom
1.0
-2.0524 2.0524 4.8753
2.0524 -2.0524 4.8753
2.0524 2.0524 -4.8753
Tl Zn Fe
2 1 1
direct
0.0000 0.0000 0.0000
0.7500 0.2500 0.5000
0.2500 0.7500 0.5000
0.5000 0.5000 0.0000

[9]
TlZnFe (PBE-GGA, relaxed); formation enthalpy at 0 K = 416 meV per atom
1.0
6.2932 -1.4467 0.0000
6.2932 1.4467 0.0000
-0.0688 0.0000 2.9890
Tl Zn Fe
1 1 1
direct
0.0000 0.0000 0.0000
0.7074 0.7074 0.9737
0.3325 0.3325 0.4845

[10]
Tl2ZnFe (PBE-GGA, relaxed); formation enthalpy at 0 K = 541 meV per atom
1.0
2.0423 -2.4285 0.0000
2.0423 2.4285 0.0000
0.0000 0.0000 8.5481
Tl Zn Fe
2 1 1
direct
0.0000 0.0000 0.2333
0.0000 0.0000 0.7667
0.5000 0.5000 0.5000
0.5000 0.5000 0.0000

[11]
TlZnFe4 (PBE-GGA, relaxed); formation enthalpy at 0 K = 323 meV per atom
1.0
0.0000 3.5017 3.5017
3.5017 0.0000 3.5017
3.5017 3.5017 0.0000
Tl Zn Fe
1 1 4
direct
0.0000 0.0000 0.0000
0.7500 0.7500 0.7500
0.3761 0.3761 0.3761
0.3761 0.3761 0.8718
0.3761 0.8718 0.3761
0.8718 0.3761 0.3761

[12]
Tl2ZnFe (PBE-GGA, relaxed); formation enthalpy at 0 K = 558 meV per atom
1.0
-2.1904 2.1904 4.3046
2.1904 -2.1904 4.3046
2.1904 2.1904 -4.3046
Tl Zn Fe
2 1 1
direct
0.2500 0.7500 0.5000
0.7500 0.2500 0.5000
0.0000 0.0000 0.0000
0.5000 0.5000 0.0000

Number 1: Fermi-level density of states 3.1 states/eV/cell. Number 2: Fermi-level density of states 3.2 states/eV/cell. Number 3: Fermi-level density of states 3.1 states/eV/cell. Number 4: Fermi-level density of states 6.4 states/eV/cell. Number 5: Fermi-level density of states 3.2 states/eV/cell. Number 6: Fermi-level density of states 7.0 states/eV/cell. Number 7: Fermi-level density of states 3.3 states/eV/cell. Number 8: Fermi-level density of states 3.1 states/eV/cell. Number 9: Fermi-level density of states 2.0 states/eV/cell. Number 10: Fermi-level density of states 4.2 states/eV/cell. Number 11: Fermi-level density of states 4.7 states/eV/cell. Number 12: Fermi-level density of states 4.5 states/eV/cell.